Computed, not measured: a geometry-optimized NaFeRh structure at the GGA-PBE level of DFT.

```
NaFeRh
1.0
0.000 2.896 2.896
2.896 0.000 2.896
2.896 2.896 0.000
Na Fe Rh
1 1 1
Direct
0.000 0.000 0.000
0.250 0.250 0.250
0.500 0.500 0.500
```

Calculated values
space group	No. 216
total magnetization	0.00	Bohr magnetons per cell
formation enthalpy at 0 K	1.00	eV per atom
N(E_F)	6.32	states/eV/f.u.

Computed, not measured: a geometry-optimized NaFeRh structure at the GGA-PBE level of DFT.

```
NaFeRh
1.0
4.308 0.000 0.000
-2.154 3.731 0.000
0.000 0.000 5.841
Na Fe Rh
2 2 2
Direct
0.000 0.000 0.000
0.000 0.000 0.500
0.667 0.333 0.174
0.667 0.333 0.826
0.333 0.667 0.223
0.333 0.667 0.777
```

Calculated values
space group	No. 187
total magnetization	0.00	Bohr magnetons per cell
formation enthalpy at 0 K	0.64	eV per atom
N(E_F)	2.38	states/eV/f.u.

Computed, not measured: a geometry-optimized NaFeRh structure at the GGA-PBE level of DFT.

```
NaFeRh
1.0
7.489 0.000 0.000
0.000 4.263 0.000
0.000 0.000 6.612
Na Fe Rh
4 4 4
Direct
0.010 0.250 0.154
0.490 0.750 0.654
0.510 0.250 0.346
0.990 0.750 0.846
0.190 0.250 0.621
0.310 0.750 0.121
0.690 0.250 0.879
0.810 0.750 0.379
0.137 0.750 0.438
0.363 0.250 0.938
0.637 0.750 0.062
0.863 0.250 0.562
```

Calculated values
space group	No. 62
total magnetization	14.69	Bohr magnetons per cell
formation enthalpy at 0 K	0.37	eV per atom
N(E_F)	1.87	states/eV/f.u.

Computed, not measured: a geometry-optimized Na2FeRh2S6 structure at the GGA-PBE level of DFT.

```
Na2FeRh2S6
1.0
3.065 -5.303 0.000
3.065 5.303 0.000
-2.100 0.000 6.469
Na Fe Rh S
2 1 2 6
Direct
0.169 0.831 0.000
0.831 0.169 0.000
0.000 0.000 0.500
0.333 0.667 0.500
0.667 0.333 0.500
0.064 0.387 0.685
0.258 0.258 0.315
0.387 0.064 0.685
0.613 0.936 0.315
0.742 0.742 0.685
0.936 0.613 0.315
```

Calculated values
raw total energy	-57.3	eV/f.u.
space group	No. 12
total magnetization	2.02	Bohr magnetons per cell
N(E_F)	5.80	states/eV/f.u.

Computed, not measured: a geometry-optimized Na3FeRh2Se6 structure at the GGA-PBE level of DFT.

```
Na3FeRh2Se6
1.0
3.269 -5.665 0.000
3.269 5.665 0.000
-2.182 0.000 6.616
Na Fe Rh Se
3 1 2 6
Direct
0.000 0.000 0.000
0.329 0.671 0.000
0.671 0.329 0.000
0.500 0.500 0.500
0.167 0.833 0.500
0.833 0.167 0.500
0.113 0.438 0.313
0.238 0.238 0.688
0.438 0.113 0.313
0.562 0.887 0.687
0.762 0.762 0.312
0.887 0.562 0.687
```

Calculated values
raw total energy	-55.4	eV/f.u.
space group	No. 12
total magnetization	0.99	Bohr magnetons per cell
N(E_F)	8.25	states/eV/f.u.

Computed, not measured: a geometry-optimized NaFeRhSe3 structure at the GGA-PBE level of DFT.

```
NaFeRhSe3
1.0
7.941 0.000 0.000
0.000 3.746 0.000
-2.766 0.000 8.446
Na Fe Rh Se
2 2 2 6
Direct
0.208 0.250 0.246
0.792 0.750 0.754
0.078 0.250 0.592
0.922 0.750 0.408
0.327 0.750 0.842
0.673 0.250 0.158
0.120 0.250 0.872
0.249 0.750 0.536
0.455 0.750 0.138
0.545 0.250 0.862
0.751 0.250 0.464
0.880 0.750 0.128
```

Calculated values
raw total energy	-30.7	eV/f.u.
space group	No. 11
total magnetization	6.68	Bohr magnetons per cell
N(E_F)	3.36	states/eV/f.u.

Computed, not measured: a geometry-optimized NaZr2FeRh structure at the GGA-PBE level of DFT.

```
NaZr2FeRh
1.0
4.676 0.000 0.000
0.000 4.676 0.000
0.000 0.000 4.744
Na Zr Fe Rh
1 2 1 1
Direct
0.000 0.000 0.000
0.000 0.500 0.500
0.500 0.000 0.500
0.000 0.000 0.500
0.500 0.500 0.000
```

Calculated values
space group	No. 123
total magnetization	0.00	Bohr magnetons per cell
formation enthalpy at 0 K	0.68	eV per atom
N(E_F)	4.05	states/eV/f.u.

Computed, not measured: a geometry-optimized NaFe2Ru2 structure at the GGA-PBE level of DFT.

```
NaFe2Ru2
1.0
7.545 0.000 0.000
0.000 7.545 0.000
0.000 0.000 2.595
Na Fe Ru
2 4 4
Direct
0.000 0.000 0.000
0.500 0.500 0.000
0.163 0.337 0.500
0.337 0.837 0.500
0.663 0.163 0.500
0.837 0.663 0.500
0.129 0.629 0.000
0.371 0.129 0.000
0.629 0.871 0.000
0.871 0.371 0.000
```

Calculated values
space group	No. 127
total magnetization	8.36	Bohr magnetons per cell
formation enthalpy at 0 K	0.41	eV per atom
N(E_F)	7.02	states/eV/f.u.

Computed, not measured: a geometry-optimized NaFe3Ru structure at the GGA-PBE level of DFT.

```
NaFe3Ru
1.0
4.306 0.000 0.000
0.000 4.306 0.000
0.000 0.000 4.306
Na Fe Ru
1 3 1
Direct
0.000 0.000 0.000
0.000 0.000 0.500
0.000 0.500 0.000
0.500 0.000 0.000
0.500 0.500 0.500
```

Calculated values
space group	No. 221
total magnetization	10.36	Bohr magnetons per cell
formation enthalpy at 0 K	2.06	eV per atom
N(E_F)	6.62	states/eV/f.u.

Computed, not measured: a geometry-optimized NaFe2Ru2 structure at the GGA-PBE level of DFT.

```
NaFe2Ru2
1.0
-2.015 2.015 4.722
2.015 -2.015 4.722
2.015 2.015 -4.722
Na Fe Ru
1 2 2
Direct
0.000 0.000 0.000
0.387 0.387 0.000
0.613 0.613 0.000
0.250 0.750 0.500
0.750 0.250 0.500
```

Calculated values
space group	No. 139
total magnetization	1.54	Bohr magnetons per cell
formation enthalpy at 0 K	0.56	eV per atom
N(E_F)	5.82	states/eV/f.u.

Computed, not measured: a geometry-optimized NaFe2Ru2 structure at the GGA-PBE level of DFT.

```
NaFe2Ru2
1.0
7.412 0.000 0.000
0.000 7.412 0.000
0.000 0.000 2.584
Na Fe Ru
2 4 4
Direct
0.000 0.000 0.000
0.500 0.500 0.000
0.115 0.385 0.000
0.385 0.885 0.000
0.615 0.115 0.000
0.885 0.615 0.000
0.170 0.670 0.500
0.330 0.170 0.500
0.670 0.830 0.500
0.830 0.330 0.500
```

Calculated values
space group	No. 127
total magnetization	4.41	Bohr magnetons per cell
formation enthalpy at 0 K	0.42	eV per atom
N(E_F)	5.75	states/eV/f.u.

Computed, not measured: a geometry-optimized NaFeRu3 structure at the GGA-PBE level of DFT.

```
NaFeRu3
1.0
4.344 0.000 0.000
0.000 4.344 0.000
0.000 0.000 4.344
Na Fe Ru
1 1 3
Direct
0.000 0.000 0.000
0.500 0.500 0.500
0.000 0.000 0.500
0.000 0.500 0.000
0.500 0.000 0.000
```

Calculated values
space group	No. 221
total magnetization	0.00	Bohr magnetons per cell
formation enthalpy at 0 K	2.70	eV per atom
N(E_F)	11.44	states/eV/f.u.

Computed, not measured: a geometry-optimized NaFeRu3 structure at the GGA-PBE level of DFT.

```
NaFeRu3
1.0
4.464 0.000 0.000
0.000 4.464 0.000
0.000 0.000 4.464
Na Fe Ru
1 1 3
Direct
0.000 0.000 0.000
0.500 0.500 0.500
0.000 0.500 0.500
0.500 0.000 0.500
0.500 0.500 0.000
```

Calculated values
space group	No. 221
total magnetization	1.03	Bohr magnetons per cell
formation enthalpy at 0 K	1.28	eV per atom
N(E_F)	9.94	states/eV/f.u.

Computed, not measured: a geometry-optimized NaFe3Ru structure at the GGA-PBE level of DFT.

```
NaFe3Ru
1.0
4.478 0.000 0.000
0.000 4.478 0.000
0.000 0.000 4.478
Na Fe Ru
1 3 1
Direct
0.000 0.000 0.000
0.000 0.500 0.500
0.500 0.000 0.500
0.500 0.500 0.000
0.500 0.500 0.500
```

Calculated values
space group	No. 221
total magnetization	0.47	Bohr magnetons per cell
formation enthalpy at 0 K	1.50	eV per atom
N(E_F)	13.05	states/eV/f.u.

Computed, not measured: a geometry-optimized NaFeSb2Ru structure at the GGA-PBE level of DFT.

```
NaFeSb2Ru
1.0
4.806 0.000 0.000
0.000 4.806 0.000
0.000 0.000 4.773
Na Fe Sb Ru
1 1 2 1
Direct
0.000 0.000 0.000
0.000 0.000 0.500
0.000 0.500 0.500
0.500 0.000 0.500
0.500 0.500 0.000
```

Calculated values
raw total energy	-22.7	eV/f.u.
space group	No. 123
total magnetization	2.57	Bohr magnetons per cell
N(E_F)	5.71	states/eV/f.u.

Computed, not measured: a geometry-optimized NaFeTc2Ru structure at the GGA-PBE level of DFT.

```
NaFeTc2Ru
1.0
4.469 0.000 0.000
0.000 4.469 0.000
0.000 0.000 4.512
Na Fe Tc Ru
1 1 2 1
Direct
0.000 0.000 0.000
0.500 0.500 0.500
0.000 0.500 0.500
0.500 0.000 0.500
0.500 0.500 0.000
```

Calculated values
space group	No. 123
total magnetization	1.60	Bohr magnetons per cell
formation enthalpy at 0 K	1.31	eV per atom
N(E_F)	7.05	states/eV/f.u.

Computed, not measured: a geometry-optimized Na2Fe3S4 structure at the GGA-PBE level of DFT.

```
Na2Fe3S4
1.0
7.448 -1.864 0.000
7.448 1.864 0.000
-2.821 0.000 5.977
Na Fe S
2 3 4
Direct
0.000 0.000 0.000
0.507 0.507 0.505
0.204 0.204 0.541
0.707 0.707 0.033
0.818 0.818 0.476
0.146 0.146 0.811
0.367 0.367 0.690
0.653 0.653 0.318
0.871 0.871 0.214
```

Calculated values
raw total energy	-49.7	eV/f.u.
space group	No. 8
total magnetization	3.42	Bohr magnetons per cell
N(E_F)	7.13	states/eV/f.u.

Computed, not measured: a geometry-optimized Na6FeS4 structure at the GGA-PBE level of DFT.

```
Na6FeS4
1.0
8.934 0.000 0.000
-4.467 7.737 0.000
0.000 0.000 6.933
Na Fe S
12 2 8
Direct
0.063 0.532 0.000
0.147 0.294 0.671
0.147 0.853 0.671
0.294 0.147 0.171
0.468 0.532 0.000
0.468 0.937 0.000
0.532 0.063 0.500
0.532 0.468 0.500
0.706 0.853 0.671
0.853 0.147 0.171
0.853 0.706 0.171
0.937 0.468 0.500
0.333 0.667 0.384
0.667 0.333 0.884
0.189 0.378 0.277
0.189 0.811 0.277
0.333 0.667 0.724
0.378 0.189 0.777
0.622 0.811 0.277
0.667 0.333 0.224
0.811 0.189 0.777
0.811 0.622 0.777
```

Calculated values
raw total energy	-43.0	eV/f.u.
space group	No. 186
total magnetization	8.00	Bohr magnetons per cell
N(E_F)	6.50	states/eV/f.u.

Computed, not measured: a geometry-optimized Na3FeS structure at the GGA-PBE level of DFT.

```
Na3FeS
1.0
5.299 0.000 0.000
0.000 5.299 0.000
0.000 0.000 5.299
Na Fe S
3 1 1
Direct
0.000 0.000 0.500
0.000 0.500 0.000
0.500 0.000 0.000
0.500 0.500 0.500
0.000 0.000 0.000
```

Calculated values
raw total energy	-16.0	eV/f.u.
space group	No. 221
total magnetization	3.03	Bohr magnetons per cell
N(E_F)	5.82	states/eV/f.u.

Computed, not measured: a geometry-optimized NaFe3S structure at the GGA-PBE level of DFT.

```
NaFe3S
1.0
4.267 0.000 0.000
0.000 4.267 0.000
0.000 0.000 4.267
Na Fe S
1 3 1
Direct
0.000 0.000 0.000
0.000 0.500 0.500
0.500 0.000 0.500
0.500 0.500 0.000
0.500 0.500 0.500
```

Calculated values
raw total energy	-29.3	eV/f.u.
space group	No. 221
total magnetization	6.71	Bohr magnetons per cell
N(E_F)	6.05	states/eV/f.u.